No. 1
Density functional theory data (PBE) for a geometry-optimized TaF5 structure.

Summary:
- Energy relative to the lowest polymorph listed for this composition: 62 meV/atom
- Raw formation energy: -3.1613 eV per atom
- Size of the total moment: 0.00 Bohr magnetons per cell

```
TaF5
1.0
5.461 0.000 0.000
0.000 9.958 0.000
-2.998 0.000 7.554
Ta F
4 20
Cartesian
-0.569 2.443 2.834 Ta
-2.068 2.536 6.611 Ta
4.531 7.422 0.943 Ta
3.032 7.515 4.720 Ta
-1.653 5.828 5.039 F
-0.154 9.109 1.262 F
0.138 2.153 0.917 F
-1.361 2.826 4.694 F
0.533 6.508 1.697 F
-0.965 8.429 5.474 F
-0.018 0.890 3.743 F
-1.517 4.090 7.520 F
-0.349 1.789 6.793 F
1.149 3.190 3.016 F
1.314 6.768 4.538 F
2.813 8.169 0.761 F
3.980 5.869 0.034 F
2.481 9.069 3.811 F
3.429 1.529 2.080 F
1.930 3.450 5.857 F
3.824 7.132 2.860 F
2.325 7.805 6.637 F
2.617 0.849 6.292 F
4.116 4.130 2.515 F
```

No. 2
Density functional theory data (PBE) for a geometry-optimized La4Sm2DySc structure.

Summary:
- DFT formation energy: 0.031 eV/atom
- Size of the total moment: 0.00 Bohr magnetons per cell

```
La4Sm2DySc
1.0
5.175 0.000 0.000
0.000 5.204 0.000
0.000 0.000 10.016
La Sm Dy Sc
4 2 1 1
Cartesian
0.000 0.000 2.457 La
0.000 0.000 7.559 La
2.587 2.602 2.463 La
2.587 2.602 7.553 La
0.000 2.602 0.000 Sm
2.587 0.000 5.008 Sm
0.000 2.602 5.008 Dy
2.587 0.000 0.000 Sc
```

No. 3
Density functional theory data (PBE) for a geometry-optimized Rb2AgTeO structure.

Summary:
- Raw formation energy: -0.6523 eV per atom
- Size of the total moment: 0.28 Bohr magnetons per cell

```
Rb2AgTeO
1.0
6.324 0.000 0.000
0.000 6.324 0.000
0.000 0.000 4.003
Rb Ag Te O
2 1 1 1
Cartesian
0.000 3.162 0.000 Rb
3.162 0.000 0.000 Rb
0.000 0.000 2.001 Ag
3.162 3.162 2.001 Te
0.000 0.000 0.000 O
```

No. 4
Density functional theory data (PBE) for a geometry-optimized FeAgBr2 structure.

Summary:
- Energy relative to the lowest polymorph listed for this composition: 0 meV/atom
- Raw formation energy: -0.0271 eV per atom
- Size of the total moment: 3.17 Bohr magnetons per cell

```
FeAgBr2
1.0
4.452 0.000 0.000
0.000 3.802 0.000
-0.023 0.000 6.372
Fe Ag Br
1 1 2
Cartesian
0.000 0.000 0.000 Fe
-0.001 1.901 2.004 Ag
2.224 0.000 1.175 Br
4.420 1.901 4.718 Br
```

No. 5
Density functional theory data (PBE) for a geometry-optimized InSbW3 structure.

Summary:
- Raw formation energy: 2.7886 eV per atom
- Size of the total moment: 0.00 Bohr magnetons per cell

```
InSbW3
1.0
4.913 0.000 0.000
0.000 4.913 0.000
0.000 0.000 4.913
In Sb W
1 1 3
Cartesian
0.000 0.000 0.000 In
2.456 2.456 2.456 Sb
0.000 0.000 2.456 W
0.000 2.456 0.000 W
2.456 0.000 0.000 W
```

No. 6
Density functional theory data (PBE) for a geometry-optimized Ho7Co2Hg structure.

Summary:
- DFT formation energy: -0.033 eV/atom
- Size of the total moment: 0.00 Bohr magnetons per cell

```
Ho7Co2Hg
1.0
4.433 -6.617 0.000
4.433 6.617 0.000
0.000 0.000 4.894
Ho Co Hg
7 2 1
Cartesian
0.000 0.000 0.000 Ho
2.802 1.743 0.000 Ho
4.433 3.915 2.447 Ho
2.802 -1.743 0.000 Ho
6.063 1.743 0.000 Ho
4.433 -3.915 2.447 Ho
6.063 -1.743 0.000 Ho
4.433 3.918 0.000 Co
4.433 -3.918 0.000 Co
4.433 0.000 2.447 Hg
```

No. 7
Density functional theory data (PBE) for a geometry-optimized ScHg2Ru structure.

Summary:
- Energy relative to the lowest polymorph listed for this composition: 153 meV/atom
- DFT formation energy: 0.025 eV/atom
- Size of the total moment: 0.52 Bohr magnetons per cell

```
ScHg2Ru
1.0
3.638 0.000 0.000
0.000 3.638 0.000
0.000 0.000 5.793
Sc Hg Ru
1 2 1
Cartesian
0.000 0.000 0.000 Sc
1.819 1.819 1.493 Hg
1.819 1.819 4.300 Hg
0.000 0.000 2.896 Ru
```

No. 8
Density functional theory data (PBE) for a geometry-optimized CaZr2 structure.

Summary:
- Energy relative to the lowest polymorph listed for this composition: 0 meV/atom
- DFT formation energy: 0.153 eV/atom
- Size of the total moment: 0.00 Bohr magnetons per cell

```
CaZr2
1.0
3.788 0.000 0.000
0.000 3.788 0.000
0.000 0.000 11.919
Ca Zr
2 4
Cartesian
0.947 0.947 1.432 Ca
2.841 2.841 10.487 Ca
0.947 0.947 5.192 Zr
0.947 0.947 8.217 Zr
2.841 2.841 3.703 Zr
2.841 2.841 6.727 Zr
```

No. 9
Density functional theory data (PBE) for a geometry-optimized Zr2Zn4Ir structure.

Summary:
- DFT formation energy: 0.276 eV/atom
- Size of the total moment: 0.00 Bohr magnetons per cell

```
Zr2Zn4Ir
1.0
-2.317 2.317 6.880
2.317 -2.317 6.880
2.317 2.317 -6.880
Zr Zn Ir
2 4 1
Cartesian
0.000 0.000 1.663 Zr
0.000 0.000 12.098 Zr
2.317 0.000 0.000 Zn
0.000 0.000 4.393 Zn
0.000 2.317 0.000 Zn
0.000 0.000 9.368 Zn
0.000 0.000 6.880 Ir
```

No. 10
Density functional theory data (PBE) for a geometry-optimized Ca2LaTcN4 structure.

Summary:
- Raw formation energy: -0.7400 eV per atom
- Size of the total moment: 0.00 Bohr magnetons per cell

```
Ca2LaTcN4
1.0
1.727 -6.032 0.000
1.727 6.032 0.000
0.000 0.000 12.105
Ca La Tc N
4 2 2 8
Cartesian
1.727 4.522 6.496 Ca
1.727 4.522 11.662 Ca
1.727 -4.522 0.443 Ca
1.727 -4.522 5.610 Ca
1.727 0.854 9.079 La
1.727 -0.854 3.026 La
1.727 2.206 3.026 Tc
1.727 -2.206 9.079 Tc
1.727 4.994 9.079 N
1.727 3.242 1.561 N
1.727 3.242 4.492 N
1.727 0.000 0.000 N
1.727 0.000 6.053 N
1.727 -3.242 7.613 N
1.727 -3.242 10.545 N
1.727 -4.994 3.026 N
```

No. 11
Density functional theory data (PBE) for a geometry-optimized Nd4SbP2H structure.

Summary:
- Calculated total energy: -5.90 eV/atom
- Size of the total moment: 0.00 Bohr magnetons per cell

```
Nd4SbP2H
1.0
2.106 -6.866 0.000
2.106 6.866 0.000
0.000 0.000 14.133
Nd Sb P H
8 2 4 2
Cartesian
0.000 0.000 0.000 Nd
0.000 0.000 7.066 Nd
2.106 3.216 8.709 Nd
2.106 3.216 12.491 Nd
2.106 0.883 3.533 Nd
2.106 -0.883 10.600 Nd
2.106 -3.216 1.642 Nd
2.106 -3.216 5.424 Nd
2.106 5.385 3.533 Sb
2.106 -5.385 10.600 Sb
2.106 1.847 0.859 P
2.106 1.847 6.208 P
2.106 -1.847 7.925 P
2.106 -1.847 13.274 P
2.106 4.722 10.600 H
2.106 -4.722 3.533 H
```

No. 12
Density functional theory data (PBE) for a geometry-optimized Ba2Sn2Rh structure.

Summary:
- Energy relative to the lowest polymorph listed for this composition: 0 meV/atom
- DFT formation energy: -0.586 eV/atom
- Size of the total moment: 0.00 Bohr magnetons per cell

```
Ba2Sn2Rh
1.0
6.203 -2.441 0.000
6.203 2.441 0.000
-5.414 0.000 10.720
Ba Sn Rh
4 4 2
Cartesian
-0.714 0.000 1.756 Ba
-0.961 0.000 6.523 Ba
7.953 0.000 4.197 Ba
7.706 0.000 8.964 Ba
-1.307 0.000 10.044 Sn
2.764 0.000 6.729 Sn
4.228 0.000 3.991 Sn
8.299 0.000 0.677 Sn
2.735 0.000 1.681 Rh
4.256 0.000 9.039 Rh
```

Which of these has the highest size of the total moment?
FeAgBr2

Among the records above, which one has the highest size of the total moment?
FeAgBr2

What is the size of the total moment in the seventh record?
0.52 Bohr magnetons per cell